# ZnCu2Sb

A relaxed ZnCu2Sb crystal (PBE, Alexandria via LeMat-Bulk).

**Uncorrected formation energy**: 0.13 eV/atom
**Final energy**: -13.08 eV per formula unit

Structure (CIF):
```
data_ZnCu2Sb
_chemical_formula_sum 'Zn1 Cu2 Sb1'
_cell_length_a 3.5356
_cell_length_b 3.5356
_cell_length_c 5.2612
_cell_angle_alpha 90.00
_cell_angle_beta 90.00
_cell_angle_gamma 90.00
_space_group_name_H-M_alt 'P 4 m m'
_space_group_IT_number 99
_space_group_name_Hall 'P 4 -2'
loop_
_atom_site_label
_atom_site_fract_x
_atom_site_fract_y
_atom_site_fract_z
Zn1 0.0000 0.0000 0.0000
Cu1 0.0000 0.0000 0.4641
Cu2 0.5000 0.5000 0.1988
Sb1 0.5000 0.5000 0.6934
```